Version A
A relaxed SmLuPt crystal, computed with PBE.

abc: 4.6252 4.6252 4.1971
angles: 90.00 90.00 120.00
Space group P3m1 (No. 156)
Symmetry-distinct sites (fractional):
Sm (0.0000, 0.0000, 0.0000) [1 per cell]
Lu (0.3333, 0.6667, 0.4890) [1 per cell]
Pt (0.6667, 0.3333, 0.6637) [1 per cell]

Version B
A relaxed SmLuPt crystal, computed with PBE.

abc: 6.883 6.883 6.883
angles: 90.00 90.00 90.00
Space group F-43m (No. 216)
Symmetry-distinct sites (fractional):
Sm (0.000, 0.000, 0.000) [4 per cell]
Lu (0.000, 0.000, 0.500) [4 per cell]
Pt (0.250, 0.250, 0.750) [4 per cell]

Which one sits at the bottom of the stability order? version A does.

Version A
A relaxed SrLuPt2 crystal, computed with PBE.

abc: 4.6761 4.6761 15.7192
angles: 90.00 90.00 120.00
Space group R-3m (No. 166, hexagonal axes)
Symmetry-distinct sites (fractional):
Sr (0.0000, 0.0000, 0.0000) [3 per cell]
Lu (0.0000, 0.0000, 0.5000) [3 per cell]
Pt (0.0000, 0.0000, 0.2144) [6 per cell]

Version B
A relaxed SrLuPt2 crystal, computed with PBE.

abc: 7.064 7.064 7.064
angles: 90.00 90.00 90.00
Space group Fm-3m (No. 225)
Symmetry-distinct sites (fractional):
Sr (0.000, 0.000, 0.000) [4 per cell]
Lu (0.000, 0.000, 0.500) [4 per cell]
Pt (0.250, 0.250, 0.250) [8 per cell]

Which one sits at the bottom of the stability order? version B does.

Version A
A relaxed TbLu2Pt crystal, computed with PBE.

abc: 3.7755 3.7755 27.8674
angles: 90.00 90.00 120.00
Space group R-3m (No. 166, hexagonal axes)
Symmetry-distinct sites (fractional):
Tb (0.0000, 0.0000, 0.0000) [3 per cell]
Lu (0.0000, 0.0000, 0.2273) [6 per cell]
Pt (0.0000, 0.0000, 0.5000) [3 per cell]

Version B
A relaxed TbLu2Pt crystal, computed with PBE.

abc: 3.491 3.491 8.381
angles: 90.00 90.00 90.00
Space group P4/mmm (No. 123)
Symmetry-distinct sites (fractional):
Tb (0.000, 0.000, 0.000) [1 per cell]
Lu (0.500, 0.500, 0.306) [2 per cell]
Pt (0.000, 0.000, 0.500) [1 per cell]

Which one sits at the bottom of the stability order? version A does.

Version A
A relaxed TbLuPt crystal, computed with PBE.

abc: 4.5873 4.5873 4.1869
angles: 90.00 90.00 120.00
Space group P3m1 (No. 156)
Symmetry-distinct sites (fractional):
Tb (0.0000, 0.0000, 0.0000) [1 per cell]
Lu (0.6667, 0.3333, 0.5087) [1 per cell]
Pt (0.3333, 0.6667, 0.3017) [1 per cell]

Version B
A relaxed TbLuPt crystal, computed with PBE.

abc: 6.818 6.818 6.818
angles: 90.00 90.00 90.00
Space group F-43m (No. 216)
Symmetry-distinct sites (fractional):
Tb (0.000, 0.000, 0.000) [4 per cell]
Lu (0.000, 0.000, 0.500) [4 per cell]
Pt (0.250, 0.250, 0.750) [4 per cell]

Which one sits at the bottom of the stability order? version A does.